Here is a relaxed structure of K4TbPm3Te8 from Alexandria. Energies are from PBE.

a = 9.7966 Å, b = 9.7966 Å, c = 9.7966 Å
α = 55.64°, β = 55.64°, γ = 55.64°
Sites, in units of the cell vectors:
K1 0.0000 0.0000 0.0000
K2 0.0000 0.5000 0.5000
K3 0.5000 0.0000 0.5000
K4 0.5000 0.5000 0.0000
Tb1 0.5000 0.5000 0.5000
Pm1 0.0000 0.0000 0.5000
Pm2 0.0000 0.5000 0.0000
Pm3 0.5000 0.0000 0.0000
Te1 0.2380 0.2380 0.2380
Te2 0.2418 0.7350 0.7350
Te3 0.2650 0.2650 0.7582
Te4 0.2650 0.7582 0.2650
Te5 0.7350 0.2418 0.7350
Te6 0.7350 0.7350 0.2418
Te7 0.7582 0.2650 0.2650
Te8 0.7620 0.7620 0.7620

## Properties
Symmetry = R-3m (166)
Total moment = 0.0000 μB per atom
Formation energy (no corrections) = -1412.5 meV/atom



Here is a relaxed structure of KPm2Te4 from Alexandria. Energies are from PBE.

a = 8.0106 Å, b = 8.0106 Å, c = 15.4062 Å
α = 90.00°, β = 90.00°, γ = 147.51°
Sites, in units of the cell vectors:
K1 0.1058 0.8942 0.7500
K2 0.8942 0.1058 0.2500
Pm1 0.3642 0.6358 0.5594
Pm2 0.3642 0.6358 0.9406
Pm3 0.6358 0.3642 0.0594
Pm4 0.6358 0.3642 0.4406
Te1 0.0000 0.0000 0.0000
Te2 0.0000 0.0000 0.5000
Te3 0.2635 0.7365 0.1186
Te4 0.2635 0.7365 0.3814
Te5 0.4256 0.5744 0.7500
Te6 0.5744 0.4256 0.2500
Te7 0.7365 0.2635 0.6186
Te8 0.7365 0.2635 0.8814

## Properties
DOS(E_F) = 9.74 states/eV per cell
Symmetry = Cmcm (63)
Total moment = 0.0000 μB per atom
Formation energy (no corrections) = -1204.3 meV/atom



Here is a relaxed structure of KPmTe2 from Alexandria. Energies are from PBE.

a = 8.8312 Å, b = 8.8312 Å, c = 8.8312 Å
α = 29.97°, β = 29.97°, γ = 29.97°
Sites, in units of the cell vectors:
K1 0.0000 0.0000 0.0000
Pm1 0.1691 0.1691 0.1691
Te1 0.5727 0.5727 0.5727
Te2 0.7651 0.7651 0.7651

## Properties
Symmetry = R3m (160)
Total moment = 0.0000 μB per atom
Formation energy (no corrections) = -1399.4 meV/atom



Here is a relaxed structure of KPm3Te3 from Alexandria. Energies are from PBE.

a = 10.1062 Å, b = 10.1062 Å, c = 10.1062 Å
α = 51.18°, β = 51.18°, γ = 51.18°
Sites, in units of the cell vectors:
K1 0.1646 0.1646 0.1646
K2 0.8354 0.8354 0.8354
Pm1 0.1205 0.6475 0.3641
Pm2 0.3525 0.6359 0.8795
Pm3 0.3641 0.1205 0.6475
Pm4 0.6359 0.8795 0.3525
Pm5 0.6475 0.3641 0.1205
Pm6 0.8795 0.3525 0.6359
Te1 0.0120 0.4236 0.7921
Te2 0.2079 0.9880 0.5764
Te3 0.4236 0.7921 0.0120
Te4 0.5764 0.2079 0.9880
Te5 0.7921 0.0120 0.4236
Te6 0.9880 0.5764 0.2079

## Properties
DOS(E_F) = 11.85 states/eV per cell
Symmetry = R-3 (148)
Total moment = 0.2875 μB per atom
Formation energy (no corrections) = -974.1 meV/atom



Here is a relaxed structure of KPmTe2 from Alexandria. Energies are from PBE.

a = 3.9579 Å, b = 3.9579 Å, c = 8.5672 Å
α = 90.00°, β = 90.00°, γ = 90.00°
Sites, in units of the cell vectors:
K1 0.0000 0.0000 0.0000
Pm1 0.0000 0.0000 0.5000
Te1 0.5000 0.5000 0.2862
Te2 0.5000 0.5000 0.7138

## Properties
DOS(E_F) = 0.98 states/eV per cell
Symmetry = P4/mmm (123)
Total moment = 0.0000 μB per atom
Formation energy (no corrections) = -1220.9 meV/atom



Here is a relaxed structure of KPm5Te6 from Alexandria. Energies are from PBE.

a = 7.8040 Å, b = 7.8040 Å, c = 7.8719 Å
α = 99.54°, β = 99.54°, γ = 119.97°
Sites, in units of the cell vectors:
K1 0.0000 0.0000 0.0000
Pm1 0.1589 0.8411 0.5000
Pm2 0.3338 0.6662 0.0000
Pm3 0.5000 0.5000 0.5000
Pm4 0.6662 0.3338 0.0000
Pm5 0.8411 0.1589 0.5000
Te1 0.0856 0.4285 0.2580
Te2 0.2584 0.2584 0.7519
Te3 0.4285 0.0856 0.2580
Te4 0.5715 0.9144 0.7420
Te5 0.7416 0.7416 0.2481
Te6 0.9144 0.5715 0.7420

## Properties
DOS(E_F) = 5.98 states/eV per cell
Symmetry = C2/m (12)
Total moment = 0.0000 μB per atom
Formation energy (no corrections) = -1389.7 meV/atom



Here is a relaxed structure of KPmTe4 from Alexandria. Energies are from PBE.

a = 6.9240 Å, b = 6.9240 Å, c = 8.9797 Å
α = 90.00°, β = 90.00°, γ = 90.00°
Sites, in units of the cell vectors:
K1 0.2500 0.2500 0.0000
K2 0.7500 0.7500 0.0000
Pm1 0.2500 0.2500 0.5000
Pm2 0.7500 0.7500 0.5000
Te1 0.1053 0.6053 0.2880
Te2 0.1053 0.8947 0.7120
Te3 0.3947 0.6053 0.7120
Te4 0.3947 0.8947 0.2880
Te5 0.6053 0.1053 0.7120
Te6 0.6053 0.3947 0.2880
Te7 0.8947 0.1053 0.2880
Te8 0.8947 0.3947 0.7120

## Properties
DOS(E_F) = 0.72 states/eV per cell
Symmetry = P4/nbm (125)
Total moment = 0.0000 μB per atom
Formation energy (no corrections) = -953.5 meV/atom



Here is a relaxed structure of K5PmTe4 from Alexandria. Energies are from PBE.

a = 10.8287 Å, b = 10.8287 Å, c = 9.0776 Å
α = 114.69°, β = 114.69°, γ = 26.93°
Sites, in units of the cell vectors:
K1 0.0000 0.0000 0.0000
K2 0.3252 0.3252 0.5722
K3 0.3257 0.3257 0.0772
K4 0.6743 0.6743 0.9228
K5 0.6748 0.6748 0.4278
Pm1 0.0000 0.0000 0.5000
Te1 0.1754 0.1754 0.6761
Te2 0.5003 0.5003 0.2692
Te3 0.4997 0.4997 0.7308
Te4 0.8246 0.8246 0.3239

## Properties
DOS(E_F) = 0.00 states/eV per cell
Symmetry = C2/m (12)
Total moment = 0.0000 μB per atom
Formation energy (no corrections) = -1081.0 meV/atom



Here is a relaxed structure of KPm4Te5 from Alexandria. Energies are from PBE.

a = 7.9410 Å, b = 7.9410 Å, c = 11.2197 Å
α = 118.73°, β = 118.73°, γ = 32.78°
Sites, in units of the cell vectors:
K1 0.0000 0.0000 0.0000
Pm1 0.1995 0.1995 0.7871
Pm2 0.4069 0.4069 0.5984
Pm3 0.5931 0.5931 0.4016
Pm4 0.8005 0.8005 0.2129
Te1 0.0000 0.0000 0.5000
Te2 0.2009 0.2009 0.3118
Te3 0.3883 0.3883 0.1043
Te4 0.6117 0.6117 0.8957
Te5 0.7991 0.7991 0.6882

## Properties
DOS(E_F) = 4.66 states/eV per cell
Symmetry = C2/m (12)
Total moment = 0.0000 μB per atom
Formation energy (no corrections) = -1393.5 meV/atom



Here is a relaxed structure of K3Pm3ThTe8 from Alexandria. Energies are from PBE.

a = 9.1173 Å, b = 9.1173 Å, c = 9.8936 Å
α = 117.48°, β = 117.48°, γ = 60.01°
Sites, in units of the cell vectors:
K1 0.0000 0.0000 0.0000
K2 0.0000 0.5000 0.0000
K3 0.5000 0.0000 0.0000
Pm1 0.0000 0.5000 0.5000
Pm2 0.5000 0.0000 0.5000
Pm3 0.5000 0.5000 0.5000
Th1 0.0000 0.0000 0.5000
Te1 0.2364 0.2364 0.7107
Te2 0.2364 0.7382 0.7107
Te3 0.2623 0.2623 0.2872
Te4 0.2618 0.7636 0.2893
Te5 0.7382 0.2364 0.7107
Te6 0.7377 0.7377 0.7128
Te7 0.7636 0.2618 0.2893
Te8 0.7636 0.7636 0.2893

## Properties
Symmetry = C2/m (12)
Total moment = 0.0000 μB per atom
Formation energy (no corrections) = -1373.8 meV/atom



Here is a relaxed structure of K3PmTh3Te8 from Alexandria. Energies are from PBE.

a = 9.9638 Å, b = 9.9638 Å, c = 9.9638 Å
α = 53.44°, β = 53.44°, γ = 53.44°
Sites, in units of the cell vectors:
K1 0.0000 0.5000 0.5000
K2 0.5000 0.0000 0.5000
K3 0.5000 0.5000 0.0000
Pm1 0.5000 0.5000 0.5000
Th1 0.0000 0.0000 0.5000
Th2 0.0000 0.5000 0.0000
Th3 0.5000 0.0000 0.0000
Te1 0.2346 0.7404 0.7404
Te2 0.2399 0.2399 0.2399
Te3 0.2596 0.2596 0.7654
Te4 0.2596 0.7654 0.2596
Te5 0.7404 0.2346 0.7404
Te6 0.7404 0.7404 0.2346
Te7 0.7601 0.7601 0.7601
Te8 0.7654 0.2596 0.2596

## Properties
DOS(E_F) = 8.95 states/eV per cell
Symmetry = R-3m (166)
Total moment = 0.0000 μB per atom
Formation energy (no corrections) = -1244.2 meV/atom



Here is a relaxed structure of K4PmTh3Te8 from Alexandria. Energies are from PBE.

a = 9.9165 Å, b = 9.9165 Å, c = 9.9165 Å
α = 53.89°, β = 53.89°, γ = 53.89°
Sites, in units of the cell vectors:
K1 0.0000 0.0000 0.0000
K2 0.0000 0.5000 0.5000
K3 0.5000 0.0000 0.5000
K4 0.5000 0.5000 0.0000
Pm1 0.5000 0.5000 0.5000
Th1 0.0000 0.0000 0.5000
Th2 0.0000 0.5000 0.0000
Th3 0.5000 0.0000 0.0000
Te1 0.2388 0.7400 0.7400
Te2 0.2402 0.2402 0.2402
Te3 0.2600 0.2600 0.7612
Te4 0.2600 0.7612 0.2600
Te5 0.7400 0.2388 0.7400
Te6 0.7400 0.7400 0.2388
Te7 0.7598 0.7598 0.7598
Te8 0.7612 0.2600 0.2600

## Properties
DOS(E_F) = 10.47 states/eV per cell
Symmetry = R-3m (166)
Total moment = 0.0000 μB per atom
Formation energy (no corrections) = -1232.7 meV/atom



Here is a relaxed structure of K2PmThTe4 from Alexandria. Energies are from PBE.

a = 7.8502 Å, b = 4.5255 Å, c = 8.7603 Å
α = 90.00°, β = 107.27°, γ = 90.00°
Sites, in units of the cell vectors:
K1 0.0000 0.0000 0.0000
K2 0.5000 0.5000 0.0000
Pm1 0.0000 0.5000 0.5000
Th1 0.5000 0.0000 0.5000
Te1 0.2409 0.0000 0.7168
Te2 0.2617 0.5000 0.2820
Te3 0.7383 0.5000 0.7180
Te4 0.7591 0.0000 0.2832

## Properties
DOS(E_F) = 4.25 states/eV per cell
Symmetry = P2/m (10)
Total moment = 0.0001 μB per atom
Formation energy (no corrections) = -1293.9 meV/atom



Here is a relaxed structure of K3Pm2TmTe6 from Alexandria. Energies are from PBE.

a = 7.8741 Å, b = 7.8741 Å, c = 8.6586 Å
α = 98.73°, β = 98.73°, γ = 120.00°
Sites, in units of the cell vectors:
K1 0.0000 0.0000 0.0000
K2 0.3307 0.6693 0.0000
K3 0.6693 0.3307 0.0000
Pm1 0.1662 0.8338 0.5000
Pm2 0.8338 0.1662 0.5000
Tm1 0.5000 0.5000 0.5000
Te1 0.1051 0.4300 0.2895
Te2 0.2460 0.2460 0.7114
Te3 0.4300 0.1051 0.2895
Te4 0.5700 0.8949 0.7105
Te5 0.7540 0.7540 0.2886
Te6 0.8949 0.5700 0.7105

## Properties
Symmetry = C2/m (12)
Total moment = 0.0000 μB per atom
Formation energy (no corrections) = -1399.5 meV/atom



Here is a relaxed structure of K2PmTmTe4 from Alexandria. Energies are from PBE.

a = 7.8364 Å, b = 4.5223 Å, c = 8.6483 Å
α = 90.00°, β = 107.54°, γ = 90.00°
Sites, in units of the cell vectors:
K1 0.0000 0.0000 0.0000
K2 0.5000 0.5000 0.0000
Pm1 0.0000 0.5000 0.5000
Tm1 0.5000 0.0000 0.5000
Te1 0.2449 0.0000 0.7115
Te2 0.2719 0.5000 0.2924
Te3 0.7281 0.5000 0.7076
Te4 0.7551 0.0000 0.2885

## Properties
Symmetry = P2/m (10)
Total moment = 0.0000 μB per atom
Formation energy (no corrections) = -1390.4 meV/atom



Here is a relaxed structure of K3PmTm2Te6 from Alexandria. Energies are from PBE.

a = 7.7938 Å, b = 7.7938 Å, c = 8.6449 Å
α = 98.66°, β = 98.66°, γ = 120.00°
Sites, in units of the cell vectors:
K1 0.0000 0.0000 0.0000
K2 0.3357 0.6643 0.0000
K3 0.6643 0.3357 0.0000
Pm1 0.5000 0.5000 0.5000
Tm1 0.1671 0.8329 0.5000
Tm2 0.8329 0.1671 0.5000
Te1 0.0884 0.4303 0.2914
Te2 0.2272 0.2272 0.7078
Te3 0.4303 0.0884 0.2914
Te4 0.5697 0.9116 0.7086
Te5 0.7728 0.7728 0.2922
Te6 0.9116 0.5697 0.7086

## Properties
Symmetry = C2/m (12)
Total moment = 0.0000 μB per atom
Formation energy (no corrections) = -1384.4 meV/atom



Here is a relaxed structure of KPm3Tm2Te6 from Alexandria. Energies are from PBE.

a = 10.0056 Å, b = 10.0056 Å, c = 9.0539 Å
α = 103.52°, β = 103.52°, γ = 25.45°
Sites, in units of the cell vectors:
K1 0.0000 0.0000 0.0000
Pm1 0.0000 0.0000 0.5000
Pm2 0.3432 0.3432 0.1849
Pm3 0.6568 0.6568 0.8151
Tm1 0.3340 0.3340 0.6623
Tm2 0.6660 0.6660 0.3377
Te1 0.1700 0.1700 0.5730
Te2 0.1749 0.1749 0.0936
Te3 0.4923 0.4923 0.7386
Te4 0.5077 0.5077 0.2614
Te5 0.8251 0.8251 0.9064
Te6 0.8300 0.8300 0.4270

## Properties
DOS(E_F) = 4.14 states/eV per cell
Symmetry = C2/m (12)
Total moment = 0.0000 μB per atom
Formation energy (no corrections) = -1307.1 meV/atom



Here is a relaxed structure of K4Pm3TmTe8 from Alexandria. Energies are from PBE.

a = 9.7886 Å, b = 9.7886 Å, c = 9.7886 Å
α = 55.50°, β = 55.50°, γ = 55.50°
Sites, in units of the cell vectors:
K1 0.0000 0.0000 0.0000
K2 0.0000 0.5000 0.5000
K3 0.5000 0.0000 0.5000
K4 0.5000 0.5000 0.0000
Pm1 0.0000 0.0000 0.5000
Pm2 0.0000 0.5000 0.0000
Pm3 0.5000 0.0000 0.0000
Tm1 0.5000 0.5000 0.5000
Te1 0.2381 0.2381 0.2381
Te2 0.2446 0.7329 0.7329
Te3 0.2671 0.2671 0.7554
Te4 0.2671 0.7554 0.2671
Te5 0.7329 0.2446 0.7329
Te6 0.7329 0.7329 0.2446
Te7 0.7554 0.2671 0.2671
Te8 0.7619 0.7619 0.7619

## Properties
Symmetry = R-3m (166)
Total moment = 0.0000 μB per atom
Formation energy (no corrections) = -1402.8 meV/atom



Here is a relaxed structure of K3Pm3TmTe8 from Alexandria. Energies are from PBE.

a = 9.9634 Å, b = 9.9634 Å, c = 9.9634 Å
α = 53.32°, β = 53.32°, γ = 53.32°
Sites, in units of the cell vectors:
K1 0.0000 0.5000 0.5000
K2 0.5000 0.0000 0.5000
K3 0.5000 0.5000 0.0000
Pm1 0.0000 0.0000 0.5000
Pm2 0.0000 0.5000 0.0000
Pm3 0.5000 0.0000 0.0000
Tm1 0.5000 0.5000 0.5000
Te1 0.2382 0.2382 0.2382
Te2 0.2438 0.7323 0.7323
Te3 0.2677 0.2677 0.7562
Te4 0.2677 0.7562 0.2677
Te5 0.7323 0.2438 0.7323
Te6 0.7323 0.7323 0.2438
Te7 0.7562 0.2677 0.2677
Te8 0.7618 0.7618 0.7618

## Properties
DOS(E_F) = 7.49 states/eV per cell
Symmetry = R-3m (166)
Total moment = 0.0000 μB per atom
Formation energy (no corrections) = -1321.0 meV/atom



Here is a relaxed structure of K4Pm3UTe8 from Alexandria. Energies are from PBE.

a = 9.8048 Å, b = 9.8048 Å, c = 9.8048 Å
α = 55.69°, β = 55.69°, γ = 55.69°
Sites, in units of the cell vectors:
K1 0.0000 0.0000 0.0000
K2 0.0000 0.5000 0.5000
K3 0.5000 0.0000 0.5000
K4 0.5000 0.5000 0.0000
Pm1 0.0000 0.0000 0.5000
Pm2 0.0000 0.5000 0.0000
Pm3 0.5000 0.0000 0.0000
U1 0.5000 0.5000 0.5000
Te1 0.2381 0.2381 0.2381
Te2 0.2399 0.7365 0.7365
Te3 0.2635 0.2635 0.7601
Te4 0.2635 0.7601 0.2635
Te5 0.7365 0.2399 0.7365
Te6 0.7365 0.7365 0.2399
Te7 0.7601 0.2635 0.2635
Te8 0.7619 0.7619 0.7619

## Properties
DOS(E_F) = 5.89 states/eV per cell
Symmetry = R-3m (166)
Total moment = 0.1879 μB per atom
Formation energy (no corrections) = -1267.0 meV/atom